#a
Here is crystalline BiPdW3 at its relaxed geometry from Alexandria via LeMat-Bulk. Energies are from PBE.

Values from the calculation:
SG: Pm-3m (221)
DOS at the Fermi energy, states/eV/cell: 9.09

a b c (Å): 4.975 4.975 4.975
angles (deg): 90.00 90.00 90.00
Sites, in units of the cell vectors:
W: 0.000 0.000 0.500
W: 0.500 0.000 0.000
W: 0.000 0.500 0.000
Bi: 0.000 0.000 0.000
Pd: 0.500 0.500 0.500

=====

#b
Here is crystalline BiPdW3 at its relaxed geometry from Alexandria via LeMat-Bulk. Energies are from PBE.

Values from the calculation:
SG: Pm-3m (221)
DOS at the Fermi energy, states/eV/cell: 6.47

a b c (Å): 4.814 4.814 4.814
angles (deg): 90.00 90.00 90.00
Sites, in units of the cell vectors:
W: 0.500 0.000 0.000
W: 0.000 0.000 0.500
W: 0.000 0.500 0.000
Pd: 0.000 0.000 0.000
Bi: 0.500 0.500 0.500

=====

#b comes first in stability; the runner-up is 104.1 kJ/mol of atoms higher.

=====

#a
Here is crystalline YBiPd4 at its relaxed geometry from Alexandria via LeMat-Bulk. Energies are from PBE.

Values from the calculation:
SG: F-43m (216)
DOS at the Fermi energy, states/eV/cell: 5.98

a b c (Å): 5.452 5.452 5.452
angles (deg): 60.00 60.00 60.00
Sites, in units of the cell vectors:
Pd: 0.625 0.625 0.124
Pd: 0.124 0.625 0.625
Pd: 0.625 0.625 0.625
Pd: 0.625 0.124 0.625
Bi: 0.250 0.250 0.250
Y: 0.000 0.000 0.000

=====

#b
Here is crystalline YBiPd4 at its relaxed geometry from Alexandria via LeMat-Bulk. Energies are from PBE.

Values from the calculation:
SG: C2/m (12)
DOS at the Fermi energy, states/eV/cell: 4.14

a b c (Å): 5.025 8.983 5.029
angles (deg): 90.00 88.13 90.00
Sites, in units of the cell vectors:
Pd: 0.001 0.831 0.500
Pd: 0.999 0.169 0.500
Pd: 0.000 0.333 0.000
Pd: 0.499 0.331 0.500
Pd: 0.500 0.167 0.000
Pd: 0.501 0.669 0.500
Pd: 0.500 0.833 0.000
Pd: 0.000 0.667 0.000
Y: 0.500 0.500 0.000
Y: 0.000 0.000 0.000
Bi: 0.000 0.500 0.500
Bi: 0.500 0.000 0.500

=====

#b comes first in stability; the runner-up is 3.5 kJ/mol of atoms higher.

=====

#a
Here is crystalline Y2Bi2Pd at its relaxed geometry from Alexandria via LeMat-Bulk. Energies are from PBE.

Values from the calculation:
SG: P4/mbm (127)
DOS at the Fermi energy, states/eV/cell: 5.13

a b c (Å): 7.657 7.657 4.830
angles (deg): 90.00 90.00 90.00
Sites, in units of the cell vectors:
Y: 0.329 0.829 0.000
Y: 0.171 0.329 0.000
Y: 0.829 0.671 0.000
Y: 0.671 0.171 0.000
Bi: 0.356 0.144 0.500
Bi: 0.856 0.356 0.500
Bi: 0.144 0.644 0.500
Bi: 0.644 0.856 0.500
Pd: 0.000 0.000 0.000
Pd: 0.500 0.500 0.000

=====

#b
Here is crystalline Y2Bi2Pd at its relaxed geometry from Alexandria via LeMat-Bulk. Energies are from PBE.

Values from the calculation:
SG: P4/mbm (127)
DOS at the Fermi energy, states/eV/cell: 4.84

a b c (Å): 7.546 7.546 4.689
angles (deg): 90.00 90.00 90.00
Sites, in units of the cell vectors:
Y: 0.834 0.334 0.500
Y: 0.666 0.834 0.500
Y: 0.334 0.166 0.500
Y: 0.166 0.666 0.500
Bi: 0.648 0.148 0.000
Bi: 0.852 0.648 0.000
Bi: 0.148 0.352 0.000
Bi: 0.352 0.852 0.000
Pd: 0.000 0.000 0.000
Pd: 0.500 0.500 0.000

=====

#b comes first in stability; the runner-up is 9.8 kJ/mol of atoms higher.